1.
DFT (SCAN) results for a PBEsol-optimized structure of RbReSO3.

Values from the calculation:
Energy relative to the elements, uncorrected = -1.621 eV/atom
Magnetization = 0.00 μB/cell
Crystal system = monoclinic

a b c (Å): 7.7116 8.1395 9.2184
angles (deg): 116.15 90.00 90.00
With the nearest neighbours (Å) after each atom.
Element x y z (fractional)
Re1 0.8683 0.9984 0.2297  3 O 1.74-1.75
Re2 0.1317 0.0016 0.7703  3 O 1.74-1.75
Re3 0.3683 0.5016 0.7703  3 O 1.74-1.75
Re4 0.6317 0.4984 0.2297  3 O 1.74-1.75
Rb1 0.8596 0.5244 0.8083  6 O 2.86-3.15
Rb2 0.3596 0.9756 0.1917  6 O 2.86-3.15
Rb3 0.6404 0.0244 0.8083  6 O 2.86-3.15
Rb4 0.1404 0.4756 0.1917  6 O 2.86-3.15
O1 0.9947 0.8380 0.7836  1 Re 1.75
O2 0.5043 0.3158 0.2176  1 Re 1.74
O3 0.7195 0.9200 0.0699  1 Re 1.75
O4 0.4957 0.6842 0.7824  1 Re 1.74
O5 0.2195 0.5800 0.9301  1 Re 1.75
O6 0.0043 0.1842 0.7824  1 Re 1.74
O7 0.2805 0.0800 0.9301  1 Re 1.75
O8 0.5053 0.3380 0.7836  1 Re 1.75
O9 0.0053 0.1620 0.2164  1 Re 1.75
O10 0.7805 0.4200 0.0699  1 Re 1.75
O11 0.4947 0.6620 0.2164  1 Re 1.75
O12 0.9957 0.8158 0.2176  1 Re 1.74
S1 0.7284 0.1141 0.4538  1 Re 2.15
S2 0.7716 0.6141 0.4538  1 Re 2.15
S3 0.2284 0.3859 0.5462  1 Re 2.15
S4 0.2716 0.8859 0.5462  1 Re 2.15

=====

2.
DFT (SCAN) results for a PBEsol-optimized structure of RbSO3.

Values from the calculation:
Energy relative to the elements, uncorrected = -1.860 eV/atom
Magnetization = 0.00 μB/cell
Crystal system = trigonal

a b c (Å): 6.4487 10.1458 10.1458
angles (deg): 120.00 90.00 90.00
With the nearest neighbours (Å) after each atom.
Element x y z (fractional)
S1 0.7441 0.6667 0.3333  3 O 1.47
S2 0.1723 0.0000 0.0000  3 O 1.47
S3 0.4042 0.6667 0.3333  3 O 1.46
S4 0.8277 0.0000 0.0000  3 O 1.47
S5 0.5958 0.3333 0.6667  3 O 1.46
S6 0.2559 0.3333 0.6667  3 O 1.47
O1 0.3517 0.8242 0.4448  1 S 1.46
O2 0.7693 0.1251 0.1507  1 S 1.47
O3 0.8030 0.6911 0.4838  1 S 1.47
O4 0.6483 0.1758 0.6206  1 S 1.46
O5 0.2307 0.1507 0.1251  1 S 1.47
O6 0.8030 0.5162 0.2073  1 S 1.47
O7 0.2307 0.8749 0.0256  1 S 1.47
O8 0.1970 0.4838 0.6911  1 S 1.47
O9 0.2307 0.9744 0.8493  1 S 1.47
O10 0.7693 0.0256 0.8749  1 S 1.47
O11 0.3517 0.6206 0.1758  1 S 1.46
O12 0.6483 0.3794 0.5552  1 S 1.46
O13 0.7693 0.8493 0.9744  1 S 1.47
O14 0.3517 0.5552 0.3794  1 S 1.46
O15 0.8030 0.7927 0.3089  1 S 1.47
O16 0.6483 0.4448 0.8242  1 S 1.46
O17 0.1970 0.3089 0.7927  1 S 1.47
O18 0.1970 0.2073 0.5162  1 S 1.47
Rb1 0.5000 0.0000 0.2939  6 O 2.93-3.03
Rb2 0.5000 0.2939 0.0000  6 O 2.93-3.03
Rb3 0.0000 0.6195 0.0000  8 O 2.88-3.06
Rb4 0.0000 0.0000 0.6195  8 O 2.88-3.06
Rb5 0.5000 0.7061 0.7061  6 O 2.93-3.03
Rb6 0.0000 0.3805 0.3805  8 O 2.88-3.06

=====

3.
DFT (SCAN) results for a PBEsol-optimized structure of Rb2SO4.

Values from the calculation:
Energy relative to the elements, uncorrected = -2.117 eV/atom
Magnetization = 0.02 μB/cell
Crystal system = orthorhombic

a b c (Å): 5.9417 7.7827 10.3852
angles (deg): 90.00 90.00 90.00
With the nearest neighbours (Å) after each atom.
Element x y z (fractional)
Rb1 0.7500 0.3277 0.5892  9 O 2.90-3.19
Rb2 0.7500 0.0099 0.2997  7 O 2.85-2.98
Rb3 0.2500 0.4901 0.7997  7 O 2.85-2.98
Rb4 0.2500 0.9901 0.7003  7 O 2.85-2.98
Rb5 0.7500 0.5099 0.2003  7 O 2.85-2.98
Rb6 0.2500 0.1723 0.0892  9 O 2.90-3.19
Rb7 0.2500 0.6723 0.4108  9 O 2.90-3.19
Rb8 0.7500 0.8277 0.9108  9 O 2.90-3.19
O1 0.7500 0.1993 0.0541  1 S 1.49
O2 0.2500 0.5450 0.0836  1 S 1.49
O3 0.5449 0.6986 0.6483  1 S 1.49
O4 0.2500 0.0450 0.4164  1 S 1.49
O5 0.7500 0.6993 0.4459  1 S 1.49
O6 0.4551 0.3014 0.3517  1 S 1.49
O7 0.0449 0.8014 0.1483  1 S 1.49
O8 0.0449 0.3014 0.3517  1 S 1.49
O9 0.9551 0.6986 0.6483  1 S 1.49
O10 0.9551 0.1986 0.8517  1 S 1.49
O11 0.7500 0.9550 0.5836  1 S 1.49
O12 0.5449 0.1986 0.8517  1 S 1.49
O13 0.2500 0.8007 0.9459  1 S 1.49
O14 0.7500 0.4550 0.9164  1 S 1.49
O15 0.4551 0.8014 0.1483  1 S 1.49
O16 0.2500 0.3007 0.5541  1 S 1.49
S1 0.2500 0.2360 0.4186  4 O 1.49
S2 0.7500 0.2640 0.9186  4 O 1.49
S3 0.7500 0.7640 0.5814  4 O 1.49
S4 0.2500 0.7360 0.0814  4 O 1.49

=====

4.
DFT (SCAN) results for a PBEsol-optimized structure of RbSO3.

Values from the calculation:
Energy relative to the elements, uncorrected = -0.419 eV/atom
Magnetization = 0.00 μB/cell
Crystal system = cubic

a b c (Å): 3.8343 3.8343 3.8343
angles (deg): 90.00 90.00 90.00
With the nearest neighbours (Å) after each atom.
Element x y z (fractional)
O1 0.0000 0.5000 0.0000  2 S 1.92
O2 0.0000 0.0000 0.5000  2 S 1.92
O3 0.5000 0.0000 0.0000  2 S 1.92
Rb1 0.5000 0.5000 0.5000  12 O 2.71
S1 0.0000 0.0000 0.0000  6 O 1.92

=====

- What is the magnetization in the second record?
  0.00 μB/cell

=====

- energy relative to the elements, uncorrected of number 1 (RbReSO3)?
  -1.621 eV/atom

=====

- What is the formula in the second record?
  RbSO3